The following is a PBE calculation of a relaxed structure of KSmGaTe3, from the Alexandria database.

The structure in POSCAR format:
```
KSmGaTe3
1.0
4.724 0.000 0.000
0.000 9.534 -0.131
0.000 -2.657 10.217
Sm K Te Ga
2 2 6 2
Direct
0.250 0.661 0.137
0.750 0.339 0.863
0.750 0.805 0.769
0.250 0.195 0.231
0.250 0.786 0.459
0.250 0.110 0.862
0.750 0.890 0.138
0.250 0.550 0.833
0.750 0.214 0.541
0.750 0.450 0.167
0.250 0.091 0.600
0.750 0.909 0.400
```

symmetry: P2_1/m
formation energy from raw total energies: -0.957 eV/atom